# Ta2PRh

A relaxed structure of Ta2PRh (PBE, Alexandria via LeMat-Bulk).

```
data_Ta2PRh
_space_group_name_H-M_alt 'I -4 2 d'
_space_group_IT_number 122
_space_group_name_Hall 'I -4 2bw'
_cell_length_a 6.905
_cell_length_b 6.905
_cell_length_c 5.627
_cell_angle_alpha 90.00
_cell_angle_beta 90.00
_cell_angle_gamma 90.00
loop_
_atom_site_label
_atom_site_fract_x
_atom_site_fract_y
_atom_site_fract_z
_atom_site_occupancy
Ta1 0.230 0.750 0.125 1
P1 0.000 0.000 0.000 1
Rh1 0.000 0.000 0.500 1
```

***

# Ta2PRh

A relaxed structure of Ta2PRh (PBE, Alexandria via LeMat-Bulk).

```
data_Ta2PRh
_space_group_name_H-M_alt 'A m m 2'
_space_group_IT_number 38
_space_group_name_Hall 'A 2 -2'
_cell_length_a 3.605
_cell_length_b 3.285
_cell_length_c 10.728
_cell_angle_alpha 90.00
_cell_angle_beta 90.00
_cell_angle_gamma 90.00
loop_
_atom_site_label
_atom_site_fract_x
_atom_site_fract_y
_atom_site_fract_z
_atom_site_occupancy
Ta1 0.000 0.000 0.000 1
Ta2 0.500 0.000 0.340 1
P1 0.500 0.000 0.584 1
Rh1 0.000 0.000 0.730 1
```

***

# Ta2PRh

A relaxed structure of Ta2PRh (PBE, Alexandria via LeMat-Bulk).

```
data_Ta2PRh
_space_group_name_H-M_alt 'C 1 2/m 1'
_space_group_IT_number 12
_space_group_name_Hall '-C 2y'
_cell_length_a 5.672
_cell_length_b 7.173
_cell_length_c 3.130
_cell_angle_alpha 90.00
_cell_angle_beta 98.09
_cell_angle_gamma 90.00
loop_
_atom_site_label
_atom_site_fract_x
_atom_site_fract_y
_atom_site_fract_z
_atom_site_occupancy
Ta1 0.250 0.250 0.000 1
P1 0.000 0.000 0.500 1
Rh1 0.000 0.500 0.500 1
```

***

# Ta2PRh

A relaxed structure of Ta2PRh (PBE, Alexandria via LeMat-Bulk).

```
data_Ta2PRh
_space_group_name_H-M_alt 'I m m m'
_space_group_IT_number 71
_space_group_name_Hall '-I 2 2'
_cell_length_a 3.501
_cell_length_b 4.748
_cell_length_c 7.658
_cell_angle_alpha 90.00
_cell_angle_beta 90.00
_cell_angle_gamma 90.00
loop_
_atom_site_label
_atom_site_fract_x
_atom_site_fract_y
_atom_site_fract_z
_atom_site_occupancy
Ta1 0.000 0.000 0.229 1
P1 0.000 0.500 0.500 1
Rh1 0.000 0.500 0.000 1
```

***

# Ta2PRh

A relaxed structure of Ta2PRh (PBE, Alexandria via LeMat-Bulk).

```
data_Ta2PRh
_space_group_name_H-M_alt 'I m m 2'
_space_group_IT_number 44
_space_group_name_Hall 'I 2 -2'
_cell_length_a 2.976
_cell_length_b 4.460
_cell_length_c 9.348
_cell_angle_alpha 90.00
_cell_angle_beta 90.00
_cell_angle_gamma 90.00
loop_
_atom_site_label
_atom_site_fract_x
_atom_site_fract_y
_atom_site_fract_z
_atom_site_occupancy
Ta1 0.000 0.000 0.000 1
Ta2 0.000 0.500 0.206 1
P1 0.000 0.500 0.726 1
Rh1 0.000 0.000 0.428 1
```

***

# Ta2PRh

A relaxed structure of Ta2PRh (PBE, Alexandria via LeMat-Bulk).

```
data_Ta2PRh
_space_group_name_H-M_alt 'F -4 3 m'
_space_group_IT_number 216
_space_group_name_Hall 'F -4 2 3'
_cell_length_a 6.317
_cell_length_b 6.317
_cell_length_c 6.317
_cell_angle_alpha 90.00
_cell_angle_beta 90.00
_cell_angle_gamma 90.00
loop_
_atom_site_label
_atom_site_fract_x
_atom_site_fract_y
_atom_site_fract_z
_atom_site_occupancy
Ta1 0.000 0.000 0.000 1
Ta2 0.250 0.250 0.250 1
P1 0.000 0.000 0.500 1
Rh1 0.250 0.250 0.750 1
```

***

# Ta2PRh

A relaxed structure of Ta2PRh (PBE, Alexandria via LeMat-Bulk).

```
data_Ta2PRh
_space_group_name_H-M_alt 'P 4/m m m'
_space_group_IT_number 123
_space_group_name_Hall '-P 4 2'
_cell_length_a 3.950
_cell_length_b 3.950
_cell_length_c 4.000
_cell_angle_alpha 90.00
_cell_angle_beta 90.00
_cell_angle_gamma 90.00
loop_
_atom_site_label
_atom_site_fract_x
_atom_site_fract_y
_atom_site_fract_z
_atom_site_occupancy
Ta1 0.000 0.500 0.000 1
P1 0.000 0.000 0.500 1
Rh1 0.500 0.500 0.500 1
```

***

# Ta2PRh

A relaxed structure of Ta2PRh (PBE, Alexandria via LeMat-Bulk).

```
data_Ta2PRh
_space_group_name_H-M_alt 'I -4 m 2'
_space_group_IT_number 119
_space_group_name_Hall 'I -4 -2'
_cell_length_a 3.735
_cell_length_b 3.735
_cell_length_c 8.985
_cell_angle_alpha 90.00
_cell_angle_beta 90.00
_cell_angle_gamma 90.00
loop_
_atom_site_label
_atom_site_fract_x
_atom_site_fract_y
_atom_site_fract_z
_atom_site_occupancy
Ta1 0.000 0.000 0.000 1
Ta2 0.000 0.500 0.250 1
P1 0.000 0.500 0.750 1
Rh1 0.000 0.000 0.500 1
```

***

# Ta2PRh

A relaxed structure of Ta2PRh (PBE, Alexandria via LeMat-Bulk).

```
data_Ta2PRh
_space_group_name_H-M_alt 'R -3 m'
_space_group_IT_number 166
_space_group_name_Hall '-R 3 2"'
_cell_length_a 2.9137
_cell_length_b 2.9137
_cell_length_c 25.8442
_cell_angle_alpha 90.00
_cell_angle_beta 90.00
_cell_angle_gamma 120.00
loop_
_atom_site_label
_atom_site_fract_x
_atom_site_fract_y
_atom_site_fract_z
_atom_site_occupancy
Ta1 0.0000 0.0000 0.2468 1
P1 0.0000 0.0000 0.5000 1
Rh1 0.0000 0.0000 0.0000 1
```

***

# Ta3PRh

A relaxed structure of Ta3PRh (PBE, Alexandria via LeMat-Bulk).

```
data_Ta3PRh
_space_group_name_H-M_alt 'P m -3 m'
_space_group_IT_number 221
_space_group_name_Hall '-P 4 2 3'
_cell_length_a 4.790
_cell_length_b 4.790
_cell_length_c 4.790
_cell_angle_alpha 90.00
_cell_angle_beta 90.00
_cell_angle_gamma 90.00
loop_
_atom_site_label
_atom_site_fract_x
_atom_site_fract_y
_atom_site_fract_z
_atom_site_occupancy
Ta1 0.000 0.000 0.500 1
P1 0.500 0.500 0.500 1
Rh1 0.000 0.000 0.000 1
```

- energy above the lowest structure with this stoichiometry (meV per atom) = 904

***

# TaP4Rh

A relaxed structure of TaP4Rh (PBE, Alexandria via LeMat-Bulk).

```
data_TaP4Rh
_space_group_name_H-M_alt 'F -4 3 m'
_space_group_IT_number 216
_space_group_name_Hall 'F -4 2 3'
_cell_length_a 6.982
_cell_length_b 6.982
_cell_length_c 6.982
_cell_angle_alpha 90.00
_cell_angle_beta 90.00
_cell_angle_gamma 90.00
loop_
_atom_site_label
_atom_site_fract_x
_atom_site_fract_y
_atom_site_fract_z
_atom_site_occupancy
Ta1 0.000 0.000 0.000 1
P1 0.124 0.124 0.376 1
Rh1 0.250 0.250 0.750 1
```

***

# Ta3PRh

A relaxed structure of Ta3PRh (PBE, Alexandria via LeMat-Bulk).

```
data_Ta3PRh
_space_group_name_H-M_alt 'P m -3 m'
_space_group_IT_number 221
_space_group_name_Hall '-P 4 2 3'
_cell_length_a 4.534
_cell_length_b 4.534
_cell_length_c 4.534
_cell_angle_alpha 90.00
_cell_angle_beta 90.00
_cell_angle_gamma 90.00
loop_
_atom_site_label
_atom_site_fract_x
_atom_site_fract_y
_atom_site_fract_z
_atom_site_occupancy
Ta1 0.000 0.000 0.500 1
P1 0.000 0.000 0.000 1
Rh1 0.500 0.500 0.500 1
```

- energy above the lowest structure with this stoichiometry (meV per atom) = 0

***

# TaPRh4

A relaxed structure of TaPRh4 (PBE, Alexandria via LeMat-Bulk).

```
data_TaPRh4
_space_group_name_H-M_alt 'F -4 3 m'
_space_group_IT_number 216
_space_group_name_Hall 'F -4 2 3'
_cell_length_a 7.202
_cell_length_b 7.202
_cell_length_c 7.202
_cell_angle_alpha 90.00
_cell_angle_beta 90.00
_cell_angle_gamma 90.00
loop_
_atom_site_label
_atom_site_fract_x
_atom_site_fract_y
_atom_site_fract_z
_atom_site_occupancy
Ta1 0.000 0.000 0.000 1
P1 0.250 0.250 0.750 1
Rh1 0.125 0.125 0.375 1
```

***

# TaP3Rh

A relaxed structure of TaP3Rh (PBE, Alexandria via LeMat-Bulk).

```
data_TaP3Rh
_space_group_name_H-M_alt 'P m -3 m'
_space_group_IT_number 221
_space_group_name_Hall '-P 4 2 3'
_cell_length_a 4.516
_cell_length_b 4.516
_cell_length_c 4.516
_cell_angle_alpha 90.00
_cell_angle_beta 90.00
_cell_angle_gamma 90.00
loop_
_atom_site_label
_atom_site_fract_x
_atom_site_fract_y
_atom_site_fract_z
_atom_site_occupancy
Ta1 0.000 0.000 0.000 1
P1 0.000 0.500 0.500 1
Rh1 0.500 0.500 0.500 1
```

- energy above the lowest structure with this stoichiometry (meV per atom) = 125

***

# Ta2PRh

A relaxed structure of Ta2PRh (PBE, Alexandria via LeMat-Bulk).

```
data_Ta2PRh
_space_group_name_H-M_alt 'C m m 2'
_space_group_IT_number 35
_space_group_name_Hall 'C 2 -2'
_cell_length_a 3.622
_cell_length_b 4.541
_cell_length_c 7.655
_cell_angle_alpha 90.00
_cell_angle_beta 90.00
_cell_angle_gamma 90.00
loop_
_atom_site_label
_atom_site_fract_x
_atom_site_fract_y
_atom_site_fract_z
_atom_site_occupancy
Ta1 0.000 0.000 0.000 1
Ta2 0.000 0.500 0.296 1
P1 0.000 0.000 0.524 1
Rh1 0.000 0.500 0.717 1
```

***

# TaP2Rh2

A relaxed structure of TaP2Rh2 (PBE, Alexandria via LeMat-Bulk).

```
data_TaP2Rh2
_space_group_name_H-M_alt 'P 4/m b m'
_space_group_IT_number 127
_space_group_name_Hall '-P 4 2ab'
_cell_length_a 7.007
_cell_length_b 7.007
_cell_length_c 2.895
_cell_angle_alpha 90.00
_cell_angle_beta 90.00
_cell_angle_gamma 90.00
loop_
_atom_site_label
_atom_site_fract_x
_atom_site_fract_y
_atom_site_fract_z
_atom_site_occupancy
Ta1 0.000 0.000 0.000 1
P1 0.159 0.341 0.000 1
Rh1 0.148 0.648 0.500 1
```

***

# TaPRh3

A relaxed structure of TaPRh3 (PBE, Alexandria via LeMat-Bulk).

```
data_TaPRh3
_space_group_name_H-M_alt 'P m -3 m'
_space_group_IT_number 221
_space_group_name_Hall '-P 4 2 3'
_cell_length_a 4.712
_cell_length_b 4.712
_cell_length_c 4.712
_cell_angle_alpha 90.00
_cell_angle_beta 90.00
_cell_angle_gamma 90.00
loop_
_atom_site_label
_atom_site_fract_x
_atom_site_fract_y
_atom_site_fract_z
_atom_site_occupancy
Ta1 0.000 0.000 0.000 1
P1 0.500 0.500 0.500 1
Rh1 0.000 0.000 0.500 1
```

- energy above the lowest structure with this stoichiometry (meV per atom) = 999

***

# Ta2PRh

A relaxed structure of Ta2PRh (PBE, Alexandria via LeMat-Bulk).

```
data_Ta2PRh
_space_group_name_H-M_alt 'P 4/m m m'
_space_group_IT_number 123
_space_group_name_Hall '-P 4 2'
_cell_length_a 2.987
_cell_length_b 2.987
_cell_length_c 6.909
_cell_angle_alpha 90.00
_cell_angle_beta 90.00
_cell_angle_gamma 90.00
loop_
_atom_site_label
_atom_site_fract_x
_atom_site_fract_y
_atom_site_fract_z
_atom_site_occupancy
Ta1 0.000 0.000 0.225 1
P1 0.500 0.500 0.000 1
Rh1 0.500 0.500 0.500 1
```

***

# Ta2PRh

A relaxed structure of Ta2PRh (PBE, Alexandria via LeMat-Bulk).

```
data_Ta2PRh
_space_group_name_H-M_alt 'P 1 2/m 1'
_space_group_IT_number 10
_space_group_name_Hall '-P 2y'
_cell_length_a 2.911
_cell_length_b 3.251
_cell_length_c 6.735
_cell_angle_alpha 90.00
_cell_angle_beta 98.10
_cell_angle_gamma 90.00
loop_
_atom_site_label
_atom_site_fract_x
_atom_site_fract_y
_atom_site_fract_z
_atom_site_occupancy
Ta1 0.083 0.000 0.268 1
P1 0.500 0.500 0.500 1
Rh1 0.500 0.500 0.000 1
```

***

# TaP3Rh

A relaxed structure of TaP3Rh (PBE, Alexandria via LeMat-Bulk).

```
data_TaP3Rh
_space_group_name_H-M_alt 'P m -3 m'
_space_group_IT_number 221
_space_group_name_Hall '-P 4 2 3'
_cell_length_a 4.738
_cell_length_b 4.738
_cell_length_c 4.738
_cell_angle_alpha 90.00
_cell_angle_beta 90.00
_cell_angle_gamma 90.00
loop_
_atom_site_label
_atom_site_fract_x
_atom_site_fract_y
_atom_site_fract_z
_atom_site_occupancy
Ta1 0.000 0.000 0.000 1
P1 0.000 0.000 0.500 1
Rh1 0.500 0.500 0.500 1
```

- energy above the lowest structure with this stoichiometry (meV per atom) = 0

***

Per-record calculated formation energy, eV/f.u.: -0.607 -2.295 -1.427 -1.457 -1.752 0.334 -1.011 -1.138 -0.593 6.300 2.773 1.783 1.128 4.519 -1.381 -2.001 5.913 -1.758 -1.661 3.896